A geometry-optimized Cs4RbMn3F12 structure, computed with PBE with a Hubbard U.

It has space group Im-3m (No. 229), with a = 9.0794 Å, b = 9.0794 Å, c = 9.0794 Å, α = 90.00°, β = 90.00° and γ = 90.00°. The distinct sites, in fractional coordinates, are Cs at (0.2500, 0.2500, 0.2500), Rb at (0.0000, 0.0000, 0.0000), Mn at (0.0000, 0.0000, 0.5000), F at (0.0000, 0.0000, 0.2868) and F at (0.0000, 0.2500, 0.5000).

The calculation puts the raw total energy at -103.28 eV/f.u. The total magnetization comes out at 0.70 μB per atom. The density of states at the Fermi level comes out at 0.2032 states/eV per atom.